19
Lattice="-1.802 6.841 5.386 -7.071 -5.383 -0.284 6.923 -4.509 3.287" Properties=species:S:1:pos:R:3 comment="PBE-GGA Pm12AlPd6, optimized geometry" vol_a3_per_atom=29.06 m_tot_mub_per_fu=0.000 delta_e_f_mev_per_atom=-416 pbc="T T T"
Pm -2.061 0.006 6.255
Pm -2.761 -3.581 4.788
Pm 0.865 -2.616 5.982
Pm 0.111 -3.056 2.134
Pm 0.811 0.530 3.601
Pm -2.815 -0.435 2.407
Pm -3.920 -5.859 0.973
Pm 1.648 -7.071 3.749
Pm -7.108 -1.197 3.850
Pm 1.970 2.809 7.416
Pm -3.598 4.021 4.640
Pm 5.158 -1.853 4.540
Al 0.000 0.000 0.000
Pd -4.371 -0.940 4.751
Pd -1.714 1.886 4.131
Pd -2.967 -3.309 1.950
Pd 2.421 -2.111 3.638
Pd -0.236 -4.937 4.259
Pd 1.017 0.259 6.439